*w*
DySb3: optimized geometry, PBE.

Lattice parameters (Å, degrees): 4.002 5.554 6.055 117.30 109.30 90.00
Sites, in units of the cell vectors:
Sb1 0.726 0.054 0.453
Sb2 0.274 0.601 0.547
Sb3 0.500 0.486 0.000
Dy1 0.000 0.025 0.000

Space-group type: No. 44
Fermi-level density of states (states/eV/cell): 1.92
ρ (g cm⁻³): 7.894
Spin magnetization (μB/atom): 0.000

---

*x*
DySb3: optimized geometry, PBE.

Lattice parameters (Å, degrees): 4.372 4.519 6.186 90.00 90.00 90.00
Sites, in units of the cell vectors:
Sb1 0.500 0.268 0.000
Sb2 0.500 0.438 0.500
Dy1 0.000 0.756 0.000
Sb3 0.000 0.872 0.500

Space-group type: No. 25
Fermi-level density of states (states/eV/cell): 0.26
ρ (g cm⁻³): 7.171
Spin magnetization (μB/atom): 0.000

---

Least stable of them? *w*.

---

*w*
DySc3Sb4: optimized geometry, PBE.

Lattice parameters (Å, degrees): 5.976 5.976 5.976 90.00 90.00 90.00
Sites, in units of the cell vectors:
Dy1 0.000 0.000 0.000
Sc1 0.500 0.000 0.500
Sc2 0.000 0.500 0.500
Sc3 0.500 0.500 0.000
Sb1 0.000 0.000 0.500
Sb2 0.500 0.000 0.000
Sb3 0.000 0.500 0.000
Sb4 0.500 0.500 0.500

Space-group type: No. 221
Fermi-level density of states (states/eV/cell): 0.24
ρ (g cm⁻³): 6.104
Spin magnetization (μB/atom): 0.000

---

*x*
DySc3Sb4: optimized geometry, PBE.

Lattice parameters (Å, degrees): 4.224 7.313 7.313 70.52 90.00 90.00
Sites, in units of the cell vectors:
Sb1 0.000 0.240 0.260
Sc1 0.000 0.500 0.500
Dy1 0.500 0.500 0.000
Sc2 0.500 0.000 0.500
Sb2 0.000 0.760 0.740
Sc3 0.000 0.000 0.000
Sb3 0.500 0.245 0.745
Sb4 0.500 0.755 0.255

Space-group type: No. 65
Fermi-level density of states (states/eV/cell): 1.44
ρ (g cm⁻³): 6.116
Spin magnetization (μB/atom): 0.000

---

Least stable of them? *w*.

---

*w*
DyScSb2: optimized geometry, PBE.

Lattice parameters (Å, degrees): 4.272 6.071 8.540 90.00 90.00 90.00
Sites, in units of the cell vectors:
Sb1 0.500 0.500 0.613
Sb2 0.000 0.000 0.865
Dy1 0.500 0.000 0.127
Sc1 0.500 0.000 0.624
Sb3 0.500 0.500 0.135
Sb4 0.000 0.000 0.387
Sc2 0.000 0.500 0.376
Dy2 0.000 0.500 0.873

Space-group type: No. 59
Fermi-level density of states (states/eV/cell): 1.19
ρ (g cm⁻³): 6.761
Spin magnetization (μB/atom): 0.000

---

*x*
DyScSb2: optimized geometry, PBE.

Lattice parameters (Å, degrees): 4.258 4.259 7.231 90.00 90.00 120.00
Sites, in units of the cell vectors:
Sc1 0.000 0.500 0.000
Sb1 0.333 0.167 0.235
Sb2 0.667 0.833 0.765
Dy1 0.000 0.500 0.500

Space-group type: No. 164
Fermi-level density of states (states/eV/cell): 1.00
ρ (g cm⁻³): 6.594
Spin magnetization (μB/atom): 0.000

---

Least stable of them? *x*.

---

*w*
DyScSb2: optimized geometry, PBE.

Lattice parameters (Å, degrees): 4.256 4.256 7.636 73.82 73.82 60.00
Sites, in units of the cell vectors:
Sb1 0.086 0.086 0.742
Sb2 0.247 0.247 0.259
Dy1 0.669 0.669 0.994
Sc1 0.498 0.498 0.505

Space-group type: No. 160
Fermi-level density of states (states/eV/cell): 0.54
ρ (g cm⁻³): 6.603
Spin magnetization (μB/atom): 0.000

---

*x*
DyScSb2: optimized geometry, PBE.

Lattice parameters (Å, degrees): 4.278 4.278 7.399 73.20 73.20 60.00
Sites, in units of the cell vectors:
Sc1 0.000 0.000 0.000
Dy1 0.500 0.500 0.500
Sb1 0.745 0.745 0.765
Sb2 0.255 0.255 0.235

Space-group type: No. 166
Fermi-level density of states (states/eV/cell): 0.80
ρ (g cm⁻³): 6.775
Spin magnetization (μB/atom): 0.000

---

Least stable of them? *w*.

---

*w*
DySc2Sb: optimized geometry, PBE.

Lattice parameters (Å, degrees): 5.103 5.103 5.102 60.00 60.00 60.00
Sites, in units of the cell vectors:
Dy1 0.500 0.500 0.500
Sc1 0.750 0.750 0.750
Sc2 0.250 0.250 0.250
Sb1 0.000 0.000 0.000

Space-group type: No. 225
Fermi-level density of states (states/eV/cell): 7.87
ρ (g cm⁻³): 6.614
Spin magnetization (μB/atom): 0.000

---

*x*
DySc2Sb: optimized geometry, PBE.

Lattice parameters (Å, degrees): 6.180 4.026 8.849 90.00 90.00 109.01
Sites, in units of the cell vectors:
Sb1 0.023 0.762 0.250
Sc1 0.228 0.364 0.453
Sc2 0.772 0.636 0.547
Dy1 0.604 0.052 0.250
Sc3 0.772 0.636 0.953
Sc4 0.228 0.364 0.047
Sb2 0.977 0.238 0.750
Dy2 0.396 0.948 0.750

Space-group type: No. 63
Fermi-level density of states (states/eV/cell): 12.95
ρ (g cm⁻³): 5.969
Spin magnetization (μB/atom): 0.004

---

Least stable of them? *w*.

---

*w*
DySc2Sb: optimized geometry, PBE.

Lattice parameters (Å, degrees): 4.521 4.616 4.616 90.00 90.00 90.00
Sites, in units of the cell vectors:
Sc1 0.000 0.500 0.000
Dy1 0.500 0.000 0.000
Sb1 0.500 0.500 0.500
Sc2 0.000 0.000 0.500

Space-group type: No. 123
Fermi-level density of states (states/eV/cell): 6.28
ρ (g cm⁻³): 6.452
Spin magnetization (μB/atom): 0.001

---

*x*
DySc2Sb: optimized geometry, PBE.

Lattice parameters (Å, degrees): 4.869 4.869 6.065 66.33 66.33 60.00
Sites, in units of the cell vectors:
Sb1 0.685 0.685 0.945
Dy1 0.489 0.489 0.533
Sc1 0.279 0.279 0.164
Sc2 0.047 0.047 0.858

Space-group type: No. 160
Fermi-level density of states (states/eV/cell): 3.74
ρ (g cm⁻³): 5.632
Spin magnetization (μB/atom): 0.000

---

Least stable of them? *x*.